(1)
# BaGa2Si

A relaxed BaGa2Si crystal (PBE, Alexandria via LeMat-Bulk).

a = 4.363 Å, b = 4.363 Å, c = 18.537 Å
α = 90.00°, β = 90.00°, γ = 120.00°
Element x y z (fractional)
Ba  0.000  0.000  0.000
Ba  0.333  0.667  0.667
Ba  0.667  0.333  0.333
Ga  0.000  0.000  0.216
Ga  0.000  0.000  0.784
Ga  0.333  0.667  0.451
Ga  0.333  0.667  0.882
Ga  0.667  0.333  0.118
Ga  0.667  0.333  0.549
Si  0.000  0.000  0.500
Si  0.333  0.667  0.167
Si  0.667  0.333  0.833

- SG = R-3m, No. 166
- total magnetic moment (μB/f.u.) = 0.0
- formation energy without anion corrections (eV per atom) = -0.264


(2)
# Ba3GaSi2

A relaxed Ba3GaSi2 crystal (PBE, Alexandria via LeMat-Bulk).

a = 8.774 Å, b = 10.058 Å, c = 10.434 Å
α = 90.00°, β = 111.59°, γ = 90.00°
Element x y z (fractional)
Ba  0.209  0.188  0.322
Ba  0.209  0.312  0.822
Ba  0.237  0.533  0.150
Ba  0.237  0.967  0.650
Ba  0.270  0.597  0.545
Ba  0.270  0.903  0.045
Ba  0.730  0.097  0.955
Ba  0.730  0.403  0.455
Ba  0.763  0.033  0.350
Ba  0.763  0.467  0.850
Ba  0.791  0.688  0.178
Ba  0.791  0.812  0.678
Ga  0.419  0.611  0.914
Ga  0.419  0.889  0.414
Ga  0.581  0.111  0.586
Ga  0.581  0.389  0.086
Si  0.119  0.635  0.811
Si  0.119  0.865  0.311
Si  0.436  0.206  0.136
Si  0.436  0.294  0.636
Si  0.564  0.706  0.364
Si  0.564  0.794  0.864
Si  0.881  0.135  0.689
Si  0.881  0.365  0.189

- SG = P2_1/c, No. 14
- total magnetic moment (μB/f.u.) = 0.0
- formation energy without anion corrections (eV per atom) = -0.315


(3)
# BaGa2Si

A relaxed BaGa2Si crystal (PBE, Alexandria via LeMat-Bulk).

a = 5.104 Å, b = 5.104 Å, c = 17.429 Å
α = 90.00°, β = 90.00°, γ = 90.00°
Element x y z (fractional)
Ba  0.000  0.250  0.375
Ba  0.000  0.750  0.625
Ba  0.500  0.250  0.125
Ba  0.500  0.750  0.875
Ga  0.000  0.000  0.000
Ga  0.000  0.500  0.000
Ga  0.250  0.250  0.750
Ga  0.250  0.750  0.250
Ga  0.500  0.000  0.500
Ga  0.500  0.500  0.500
Ga  0.750  0.250  0.750
Ga  0.750  0.750  0.250
Si  0.000  0.250  0.875
Si  0.000  0.750  0.125
Si  0.500  0.250  0.625
Si  0.500  0.750  0.375

- SG = I4_1/amd, No. 141
- total magnetic moment (μB/f.u.) = 0.0
- formation energy without anion corrections (eV per atom) = -0.214


(4)
# Ba4Ga3Si20

A relaxed Ba4Ga3Si20 crystal (PBE, Alexandria via LeMat-Bulk).

a = 10.481 Å, b = 10.481 Å, c = 10.481 Å
α = 90.00°, β = 90.00°, γ = 90.00°
Element x y z (fractional)
Ba  0.000  0.000  0.000
Ba  0.000  0.250  0.500
Ba  0.000  0.750  0.500
Ba  0.250  0.500  0.000
Ba  0.500  0.000  0.250
Ba  0.500  0.000  0.750
Ba  0.500  0.500  0.500
Ba  0.750  0.500  0.000
Ga  0.000  0.500  0.250
Ga  0.000  0.500  0.750
Ga  0.250  0.000  0.500
Ga  0.500  0.250  0.000
Ga  0.500  0.750  0.000
Ga  0.750  0.000  0.500
Si  0.000  0.303  0.117
Si  0.000  0.303  0.883
Si  0.000  0.697  0.117
Si  0.000  0.697  0.883
Si  0.117  0.000  0.303
Si  0.117  0.000  0.697
Si  0.185  0.185  0.185
Si  0.185  0.185  0.815
Si  0.185  0.815  0.185
Si  0.185  0.815  0.815
Si  0.197  0.500  0.383
Si  0.197  0.500  0.617
Si  0.303  0.117  0.000
Si  0.303  0.883  0.000
Si  0.315  0.315  0.315
Si  0.315  0.315  0.685
Si  0.315  0.685  0.315
Si  0.315  0.685  0.685
Si  0.383  0.197  0.500
Si  0.383  0.803  0.500
Si  0.500  0.383  0.197
Si  0.500  0.383  0.803
Si  0.500  0.617  0.197
Si  0.500  0.617  0.803
Si  0.617  0.197  0.500
Si  0.617  0.803  0.500
Si  0.685  0.315  0.315
Si  0.685  0.315  0.685
Si  0.685  0.685  0.315
Si  0.685  0.685  0.685
Si  0.697  0.117  0.000
Si  0.697  0.883  0.000
Si  0.803  0.500  0.383
Si  0.803  0.500  0.617
Si  0.815  0.185  0.185
Si  0.815  0.185  0.815
Si  0.815  0.815  0.185
Si  0.815  0.815  0.815
Si  0.883  0.000  0.303
Si  0.883  0.000  0.697

- SG = Pm-3n, No. 223
- total magnetic moment (μB/f.u.) = 0.0
- formation energy without anion corrections (eV per atom) = -0.189


(5)
# Ba5Ga2Si2

A relaxed Ba5Ga2Si2 crystal (PBE, Alexandria via LeMat-Bulk).

a = 11.086 Å, b = 11.086 Å, c = 11.086 Å
α = 68.58°, β = 124.88°, γ = 142.50°
Element x y z (fractional)
Ba  0.210  0.078  0.288
Ba  0.210  0.422  0.632
Ba  0.284  0.098  0.686
Ba  0.411  0.598  0.314
Ba  0.712  0.209  0.239
Ba  0.712  0.973  0.003
Ba  0.790  0.578  0.368
Ba  0.790  0.922  0.712
Ba  0.970  0.473  0.761
Ba  0.970  0.709  0.997
Ga  0.256  0.374  0.013
Ga  0.256  0.743  0.382
Ga  0.361  0.243  0.987
Ga  0.361  0.874  0.618
Si  0.613  0.113  0.500
Si  0.613  0.613  0.000
Si  0.704  0.569  0.635
Si  0.934  0.069  0.365

- SG = Ima2, No. 46
- total magnetic moment (μB/f.u.) = 0.1
- formation energy without anion corrections (eV per atom) = -0.277


(6)
# Ba3Ga2Si2

A relaxed Ba3Ga2Si2 crystal (PBE, Alexandria via LeMat-Bulk).

a = 12.496 Å, b = 4.447 Å, c = 9.326 Å
α = 90.00°, β = 119.87°, γ = 90.00°
Element x y z (fractional)
Ba  0.000  0.000  0.000
Ba  0.170  0.000  0.624
Ba  0.330  0.500  0.376
Ba  0.500  0.500  0.000
Ba  0.670  0.500  0.624
Ba  0.830  0.000  0.376
Ga  0.190  0.500  0.936
Ga  0.310  0.000  0.064
Ga  0.690  0.000  0.936
Ga  0.810  0.500  0.064
Si  0.017  0.500  0.300
Si  0.483  0.000  0.700
Si  0.517  0.000  0.300
Si  0.983  0.500  0.700

- SG = C2/m, No. 12
- total magnetic moment (μB/f.u.) = 0.0
- formation energy without anion corrections (eV per atom) = -0.334


(7)
# BaGaSi

A relaxed BaGaSi crystal (PBE, Alexandria via LeMat-Bulk).

a = 4.275 Å, b = 4.275 Å, c = 5.154 Å
α = 90.00°, β = 90.00°, γ = 120.00°
Element x y z (fractional)
Ba  0.000  0.000  0.000
Ga  0.333  0.667  0.500
Si  0.667  0.333  0.500

- SG = P-6m2, No. 187
- total magnetic moment (μB/f.u.) = 0.0
- formation energy without anion corrections (eV per atom) = -0.451


(8)
# Ba5Ga5Si2

A relaxed Ba5Ga5Si2 crystal (PBE, Alexandria via LeMat-Bulk).

a = 8.666 Å, b = 8.666 Å, c = 12.290 Å
α = 119.68°, β = 119.68°, γ = 28.42°
Element x y z (fractional)
Ba  0.000  0.000  0.000
Ba  0.303  0.303  0.412
Ba  0.370  0.370  0.172
Ba  0.630  0.630  0.828
Ba  0.697  0.697  0.588
Ga  0.000  0.000  0.500
Ga  0.061  0.061  0.333
Ga  0.308  0.308  0.851
Ga  0.692  0.692  0.149
Ga  0.939  0.939  0.667
Si  0.393  0.393  0.732
Si  0.607  0.607  0.268

- SG = C2/m, No. 12
- total magnetic moment (μB/f.u.) = 0.0
- formation energy without anion corrections (eV per atom) = -0.343